# 1
Ac3SI7 | PBE | optimized geometry

Structure (CIF):
```
data_Ac3SI7
_space_group_name_H-M_alt 'P 3 m 1'
_space_group_IT_number 156
_space_group_name_Hall 'P 3 -2"'
_cell_length_a 9.5419
_cell_length_b 9.5419
_cell_length_c 7.7393
_cell_angle_alpha 90.00
_cell_angle_beta 90.00
_cell_angle_gamma 120.00
loop_
_atom_site_label
_atom_site_fract_x
_atom_site_fract_y
_atom_site_fract_z
Ac1 0.0176 0.5088 0.0000
S1 0.3333 0.6667 0.1518
I1 0.1676 0.3352 0.7526
I2 0.3436 0.1718 0.2273
I3 0.6667 0.3333 0.7563
```

Output
For the total energy, the calculation gives -4.089 eV/atom.


# 2
AcSI | PBE | optimized geometry

Structure (CIF):
```
data_AcSI
_space_group_name_H-M_alt 'I 4 m m'
_space_group_IT_number 107
_space_group_name_Hall 'I 4 -2'
_cell_length_a 4.025
_cell_length_b 4.025
_cell_length_c 12.109
_cell_angle_alpha 90.00
_cell_angle_beta 90.00
_cell_angle_gamma 90.00
loop_
_atom_site_label
_atom_site_fract_x
_atom_site_fract_y
_atom_site_fract_z
Ac1 0.000 0.000 0.000
S1 0.000 0.000 0.585
I1 0.000 0.000 0.303
```

Output
For the total energy, the calculation gives -4.906 eV/atom.


# 3
AcS2I2 | PBE | optimized geometry

Structure (CIF):
```
data_AcS2I2
_space_group_name_H-M_alt 'I m m m'
_space_group_IT_number 71
_space_group_name_Hall '-I 2 2'
_cell_length_a 4.652
_cell_length_b 5.855
_cell_length_c 15.918
_cell_angle_alpha 90.00
_cell_angle_beta 90.00
_cell_angle_gamma 90.00
loop_
_atom_site_label
_atom_site_fract_x
_atom_site_fract_y
_atom_site_fract_z
Ac1 0.000 0.000 0.000
S1 0.213 0.000 0.500
I1 0.000 0.500 0.351
```

Output
For the total energy, the calculation gives -4.128 eV/atom.


# 4
Ac2SI2 | PBE | optimized geometry

Structure (CIF):
```
data_Ac2SI2
_space_group_name_H-M_alt 'C 1 2/m 1'
_space_group_IT_number 12
_space_group_name_Hall '-C 2y'
_cell_length_a 7.707
_cell_length_b 4.450
_cell_length_c 12.543
_cell_angle_alpha 90.00
_cell_angle_beta 103.08
_cell_angle_gamma 90.00
loop_
_atom_site_label
_atom_site_fract_x
_atom_site_fract_y
_atom_site_fract_z
Ac1 0.215 0.000 0.130
S1 0.000 0.500 0.000
I1 0.053 0.000 0.690
```

Output
For the total energy, the calculation gives -4.763 eV/atom.